# PBE+U InW2O, relaxed
data_InW2O
_symmetry_space_group_name_H-M 'P 1'
_symmetry_Int_Tables_number 1
_cell_length_a 4.483
_cell_length_b 4.483
_cell_length_c 4.483
_cell_angle_alpha 60.00
_cell_angle_beta 60.00
_cell_angle_gamma 60.00
loop_
_symmetry_equiv_pos_as_xyz
'x,y,z'
loop_
_atom_site_label
_atom_site_fract_x
_atom_site_fract_y
_atom_site_fract_z
W1 0.250 0.250 0.250
In1 0.500 0.500 0.500
W2 0.750 0.750 0.750
O1 0.000 0.000 0.000
# Space group: No. 225
# ΔE to the lowest computed polymorph (eV per formula unit): 3.52